VASP calculation (PBE) on an optimized crystal structure of Sm2ErAu3.

```
data_Sm2ErAu3
_cell_length_a 5.1437
_cell_length_b 15.5434
_cell_length_c 3.6182
_cell_angle_alpha 90.00
_cell_angle_beta 90.00
_cell_angle_gamma 90.00
_space_group_name_H-M_alt 'C m m m'
_space_group_IT_number 65
_space_group_name_Hall '-C 2 2'
loop_
_atom_site_label
_atom_site_fract_x
_atom_site_fract_y
_atom_site_fract_z
_atom_site_occupancy
Sm1 0.0000 0.1675 0.0000 1
Er1 0.0000 0.5000 0.0000 1
Au1 0.0000 0.0000 0.5000 1
Au2 0.0000 0.3419 0.5000 1
```

Raw total energy, eV per atom: -4.794
Crystal system: orthorhombic
V, Å³/atom: 24.11
Energy relative to the elements, eV per atom: -0.82
Energy above the most stable polymorph in this dataset, eV per atom: 0.006